Material: BaAgSO
Method: DFT, GGA-PBE
State: relaxed

The structure in POSCAR format:
```
BaAgSO
1.0
4.357 0.000 0.000
0.000 4.357 0.000
0.000 0.000 9.082
Ba Ag O S
2 2 2 2
Cartesian
3.267 3.267 1.404 Ba
1.089 1.089 7.679 Ba
1.089 1.089 3.253 Ag
3.267 3.267 5.829 Ag
3.267 3.267 8.036 O
1.089 1.089 1.046 O
1.089 3.267 4.541 S
3.267 1.089 4.541 S
```

- Space group: No. 129

Material: Ba2Ag2Sb2O
Method: DFT, GGA-PBE
State: relaxed

The structure in POSCAR format:
```
Ba2Ag2Sb2O
1.0
4.652 0.000 0.000
-2.326 4.029 0.000
0.000 0.000 21.074
Ba Sb O Ag
4 4 2 4
Cartesian
0.000 0.000 10.537 Ba
0.000 0.000 0.000 Ba
0.000 0.000 15.806 Ba
0.000 0.000 5.269 Ba
0.000 2.686 2.295 Sb
0.000 2.686 8.242 Sb
2.326 1.343 18.779 Sb
2.326 1.343 12.832 Sb
2.326 1.343 5.269 O
0.000 2.686 15.806 O
2.326 1.343 2.925 Ag
0.000 2.686 18.149 Ag
0.000 2.686 13.462 Ag
2.326 1.343 7.612 Ag
```

- Space group: No. 194

Material: Ba2ScAgO4
Method: DFT, GGA-PBE
State: relaxed

The structure in POSCAR format:
```
Ba2ScAgO4
1.0
4.117 0.000 0.000
0.000 4.117 0.000
0.000 0.000 8.364
Ag Ba Sc O
1 2 1 4
Cartesian
0.000 0.000 4.182 Ag
2.059 2.059 6.496 Ba
2.059 2.059 1.868 Ba
0.000 0.000 0.000 Sc
0.000 0.000 2.171 O
0.000 0.000 6.193 O
0.000 2.059 0.000 O
2.059 0.000 0.000 O
```

- Total magnetic moment: 0.0 μB per formula unit
- Space group: No. 123

Material: BaAgSeO
Method: DFT, GGA-PBE
State: relaxed

The structure in POSCAR format:
```
BaAgSeO
1.0
8.169 0.000 0.000
0.000 3.789 0.000
0.000 0.000 12.580
Se O Ba Ag
4 4 4 4
Cartesian
5.765 0.947 7.621 Se
2.404 2.842 4.959 Se
6.489 2.842 1.331 Se
1.680 0.947 11.249 Se
5.894 0.947 4.571 O
2.275 2.842 8.009 O
6.360 2.842 10.861 O
1.810 0.947 1.719 O
0.062 0.947 3.565 Ba
8.107 2.842 9.016 Ba
4.022 2.842 9.855 Ba
4.147 0.947 2.726 Ba
2.467 0.947 6.765 Ag
1.617 2.842 0.475 Ag
5.702 2.842 5.815 Ag
6.552 0.947 12.106 Ag
```

- Space group: No. 62

| no. | VASP energy (eV/atom) |
| --- | --- |
| 1 | -4.556 |
| 2 | -4.118 |
| 3 | -6.547 |
| 4 | -4.320 |